Computed, not measured: crystalline Be5Pt at its relaxed geometry at the PBE-GGA level of DFT.

Cell and atoms, written as POSCAR:
```
Be5Pt
1.0
1.707 -5.047 0.000
1.707 5.047 0.000
0.000 0.000 3.299
Be Pt
5 1
Cartesian
0.000 0.000 0.000 Be
1.707 3.298 1.650 Be
1.707 1.784 0.000 Be
1.707 -1.784 0.000 Be
1.707 -3.298 1.650 Be
1.707 0.000 1.650 Pt
```

## Properties
Its formation enthalpy at 0 K is -0.27 eV per atom.

***

Computed, not measured: crystalline BePt4 at its relaxed geometry at the PBE-GGA level of DFT.

Cell and atoms, written as POSCAR:
```
BePt4
1.0
-1.795 1.795 6.653
1.795 -1.795 6.653
1.795 1.795 -6.653
Be Pt
1 4
Cartesian
0.000 0.000 0.000 Be
1.795 0.000 3.326 Pt
0.000 0.000 5.418 Pt
0.000 0.000 7.888 Pt
0.000 1.795 3.326 Pt
```

## Properties
Its formation enthalpy at 0 K is 0.38 eV per atom.

***

> formation enthalpy at 0 K of number 2 (BePt4)?

0.38 eV per atom